Material: ZrCr2Pb
Method: DFT, PBE-GGA
State: optimized geometry

The structure in POSCAR format:
```
ZrCr2Pb
1.0
9.668 0.039 0.023
9.125 3.197 0.023
9.125 1.571 2.784
Zr Pb Cr
1 1 2
Cartesian
20.939 3.604 2.122
6.980 1.201 0.707
13.800 2.376 1.399
0.159 0.027 0.016
```

Values from the calculation:
Raw total energy, eV per atom: -7.2744
Volume, Å³/cell: 84.4
Formation energy, meV per atom: 601.4
ρ, Mg/m³: 7.92
Size of the total moment, μB per cell: 6.58